YRuSe2 | PBE | optimized geometry

Cell lengths 6.9257, 6.9257, 3.5174 Å; angles 90.27, 90.27, 30.57 degrees
With the nearest neighbours (Å) after each atom.
Atoms (fractional coordinates):
1 Ru 0.2338 0.2338 0.1178  5 Se 2.57-2.66
2 Se 0.0402 0.0402 0.1228  1 Ru 2.59, 4 Y 2.84
3 Se 0.7812 0.7812 0.6381  4 Ru 2.57-2.66, 2 Y 2.85
4 Y 0.4448 0.4448 0.6212  6 Se 2.84-2.85

Values from the calculation:
V   85.8 Å³ per cell
Total magnetization   0.711 Bohr magnetons per cell
ΔE_f (raw)   -0.772 eV/atom
Density of states at the Fermi level   2.99 states/eV per cell
Polymorph energy (0 for the lowest one)   31.8 meV/atom

La7Dy2Y2 | PBE | optimized geometry

Cell lengths 9.6257, 5.8422, 9.1684 Å; angles 50.41, 84.28, 90.02 degrees
With the nearest neighbours (Å) after each atom.
Atoms (fractional coordinates):
1 La 0.3475 0.0368 0.4632  4 La 3.05-3.38
2 La 0.6899 0.5107 0.9900  2 La 3.27-3.64, 2 Y 3.45-3.65, 2 Dy 3.64
3 La 0.6525 0.9632 0.5368  4 La 3.05-3.38
4 La 0.3101 0.4893 0.0100  2 La 3.27-3.64, 2 Y 3.45-3.65, 2 Dy 3.64
5 La 0.0000 0.0000 0.0000  4 Y 3.49, 2 La 3.77
6 La 0.8262 0.4478 0.5520  3 La 3.33-3.38, 2 Dy 3.64-3.66, 2 Y 3.73
7 La 0.1738 0.5522 0.4480  3 La 3.33-3.38, 2 Dy 3.64-3.66, 2 Y 3.73
8 Dy 0.5450 0.7472 0.2531  2 Dy 3.48-3.79, 8 La 3.64-3.76
9 Dy 0.4550 0.2528 0.7469  2 Dy 3.48-3.79, 8 La 3.64-3.76
10 Y 0.0179 0.7726 0.7275  1 Y 3.28, 5 La 3.45-3.65
11 Y 0.9821 0.2274 0.2725  1 Y 3.28, 5 La 3.45-3.65

Values from the calculation:
V   393.9 Å³ per cell
Total magnetization   0.000 Bohr magnetons per cell
Density of states at the Fermi level   15.13 states/eV per cell
Polymorph energy (0 for the lowest one)   6.2 meV/atom

LaHo4Th2 | PBE | optimized geometry

Cell lengths 3.5111, 3.5111, 21.4330 Å; angles 85.30, 85.30, 60.00 degrees
With the nearest neighbours (Å) after each atom.
Atoms (fractional coordinates):
1 La 0.0000 0.0000 0.0000  6 La 3.51, 6 Ho 3.56
2 Ho 0.7124 0.7124 0.8628  1 Th 3.36, 6 Ho 3.51, 3 La 3.56
3 Ho 0.2876 0.2876 0.1372  1 Th 3.36, 6 Ho 3.51, 3 La 3.56
4 Ho 0.1438 0.1438 0.5685  9 Ho 3.51-3.56, 3 Th 3.55
5 Ho 0.8562 0.8562 0.4315  9 Ho 3.51-3.56, 3 Th 3.55
6 Th 0.2351 0.2351 0.2948  4 Ho 3.36-3.55, 6 Th 3.51
7 Th 0.7649 0.7649 0.7052  4 Ho 3.36-3.55, 6 Th 3.51

Values from the calculation:
V   227.8 Å³ per cell
Total magnetization   0.000 Bohr magnetons per cell
Electronic total energy   -5.3081 eV per atom
Density of states at the Fermi level   12.05 states/eV per cell

InPIO2 | PBE | optimized geometry

Cell lengths 4.0643, 4.0643, 6.4291 Å; angles 90.00, 90.00, 90.00 degrees
With the nearest neighbours (Å) after each atom.
Atoms (fractional coordinates):
1 I 0.5000 0.5000 0.5000  4 P 2.87
2 P 0.0000 0.0000 0.5000  4 I 2.87, 2 In 3.21
3 O 0.0000 0.5000 0.0000  2 In 2.03
4 O 0.5000 0.0000 0.0000  2 In 2.03
5 In 0.0000 0.0000 0.0000  4 O 2.03

Values from the calculation:
V   106.2 Å³ per cell
Total magnetization   1.284 Bohr magnetons per cell
ΔE_f (raw)   0.084 eV/atom
Density of states at the Fermi level   4.45 states/eV per cell
Polymorph energy (0 for the lowest one)   108.8 meV/atom

HfAlFe2I | PBE | optimized geometry

Cell lengths 4.5838, 5.2762, 4.5838 Å; angles 90.00, 90.00, 90.00 degrees
With the nearest neighbours (Å) after each atom.
Atoms (fractional coordinates):
1 I 0.0000 0.0000 0.0000  4 Fe 2.29
2 Hf 0.0000 0.5000 0.0000  2 I 2.64
3 Fe 0.0000 0.0000 0.5000  2 I 2.29
4 Fe 0.5000 0.0000 0.0000  2 I 2.29
5 Al 0.5000 0.5000 0.5000  4 Hf 3.24, 8 Fe 3.49

Values from the calculation:
V   110.9 Å³ per cell
Total magnetization   3.736 Bohr magnetons per cell
ΔE_f (raw)   1.279 eV/atom
Density of states at the Fermi level   3.75 states/eV per cell

Sb3Ru5 | PBE | optimized geometry

Cell lengths 7.7228, 7.7228, 5.5020 Å; angles 90.00, 90.00, 120.00 degrees
With the nearest neighbours (Å) after each atom.
Atoms (fractional coordinates):
1 Sb 0.6386 0.0000 0.2500  9 Ru 2.56-2.83
2 Sb 0.3614 0.0000 0.7500  9 Ru 2.56-2.83
3 Sb 0.0000 0.6386 0.2500  9 Ru 2.56-2.83
4 Sb 0.3614 0.3614 0.2500  9 Ru 2.56-2.83
5 Sb 0.6386 0.6386 0.7500  9 Ru 2.56-2.83
6 Sb 0.0000 0.3614 0.7500  9 Ru 2.56-2.83
7 Ru 0.3333 0.6667 0.0000  8 Ru 2.75-3.01, 6 Sb 2.83
8 Ru 0.6667 0.3333 0.5000  8 Ru 2.75-3.01, 6 Sb 2.83
9 Ru 0.6667 0.3333 0.0000  8 Ru 2.75-3.01, 6 Sb 2.83
10 Ru 0.3333 0.6667 0.5000  8 Ru 2.75-3.01, 6 Sb 2.83
11 Ru 0.3069 0.0000 0.2500  5 Sb 2.56-2.78
12 Ru 0.6931 0.0000 0.7500  5 Sb 2.56-2.78
13 Ru 0.0000 0.3069 0.2500  5 Sb 2.56-2.78
14 Ru 0.6931 0.6931 0.2500  5 Sb 2.56-2.78
15 Ru 0.3069 0.3069 0.7500  5 Sb 2.56-2.78
16 Ru 0.0000 0.6931 0.7500  5 Sb 2.56-2.78

Values from the calculation:
V   284.2 Å³ per cell
Total magnetization   0.000 Bohr magnetons per cell
ΔE_f (raw)   0.154 eV/atom
Density of states at the Fermi level   9.85 states/eV per cell
Polymorph energy (0 for the lowest one)   58.8 meV/atom

AcNd3Sb2 | PBE | optimized geometry

Cell lengths 4.5901, 10.8005, 10.1121 Å; angles 123.89, 90.00, 102.27 degrees
With the nearest neighbours (Å) after each atom.
Atoms (fractional coordinates):
1 Ac 0.8867 0.7734 0.9000  6 Sb 3.43-3.56
2 Ac 0.1133 0.2266 0.1000  6 Sb 3.43-3.56
3 Nd 0.3115 0.6230 0.5095  3 Sb 3.23-3.31, 4 Nd 3.39-3.41
4 Nd 0.9434 0.8868 0.5609  3 Sb 3.17-3.40, 3 Nd 3.25-3.41
5 Nd 0.6467 0.2935 0.8204  4 Sb 3.26-3.39
6 Nd 0.3533 0.7065 0.1796  4 Sb 3.26-3.39
7 Nd 0.0566 0.1132 0.4391  3 Sb 3.17-3.40, 3 Nd 3.25-3.41
8 Nd 0.6885 0.3770 0.4905  3 Sb 3.23-3.31, 4 Nd 3.39-3.41
9 Sb 0.4889 0.9779 0.8174  4 Nd 3.17-3.31, 2 Ac 3.43, 1 Sb 3.45
10 Sb 0.5111 0.0221 0.1826  4 Nd 3.17-3.31, 2 Ac 3.43, 1 Sb 3.45
11 Sb 0.7585 0.5169 0.2284  6 Nd 3.26-3.40, 2 Ac 3.44
12 Sb 0.2415 0.4831 0.7716  6 Nd 3.26-3.40, 2 Ac 3.44

Values from the calculation:
V   402.3 Å³ per cell
Total magnetization   0.000 Bohr magnetons per cell
ΔE_f (raw)   -0.727 eV/atom
Density of states at the Fermi level   14.50 states/eV per cell

Cs2AlAgI6 | PBE | optimized geometry

Cell lengths 8.3126, 8.3126, 8.3160 Å; angles 60.01, 60.01, 90.00 degrees
With the nearest neighbours (Å) after each atom.
Atoms (fractional coordinates):
1 Cs 0.7500 0.2500 0.5000  12 I 4.16
2 Cs 0.2500 0.7500 0.5000  12 I 4.16
3 I 0.2611 0.2611 0.4777  1 Al 2.81, 1 Ag 3.07
4 I 0.7389 0.7389 0.5223  1 Al 2.81, 1 Ag 3.07
5 I 0.2607 0.2607 0.0000  1 Al 2.81, 1 Ag 3.06
6 I 0.7393 0.7393 0.0000  1 Al 2.81, 1 Ag 3.06
7 I 0.7393 0.2607 0.0000  1 Al 2.81, 1 Ag 3.06
8 I 0.2607 0.7393 0.0000  1 Al 2.81, 1 Ag 3.06
9 Al 0.5000 0.5000 0.0000  6 I 2.81
10 Ag 0.0000 0.0000 0.0000  6 I 3.06-3.07

Values from the calculation:
V   406.5 Å³ per cell
Total magnetization   0.000 Bohr magnetons per cell
ΔE_f (raw)   -0.878 eV/atom
Density of states at the Fermi level   1.32 states/eV per cell